First-principles (GGA-PBE) data for crystalline K2ZrAlTe5 at its relaxed geometry, as listed in the Alexandria database.

Output
- electronic total energy (eV per formula unit) = -37.2
- ρ (Mg/m³) = 4.1
- E_form (uncorrected) (eV/atom) = -0.78

Unit cell a=11.1425 b=11.1425 c=15.3678 alpha=90.00 beta=90.00 gamma=159.29
Fractional positions:
K (0.1195, 0.8805, 0.5000)
K (0.1329, 0.8671, 0.8668)
K (0.8671, 0.1329, 0.3668)
K (0.8805, 0.1195, 0.0000)
Zr (0.2099, 0.7901, 0.2106)
Zr (0.7901, 0.2099, 0.7106)
Al (0.4225, 0.5775, 0.6030)
Al (0.5775, 0.4225, 0.1030)
Te (0.0661, 0.9339, 0.2141)
Te (0.2970, 0.7030, 0.8435)
Te (0.3034, 0.6966, 0.5663)
Te (0.3363, 0.6637, 0.1814)
Te (0.4863, 0.5137, 0.4607)
Te (0.5137, 0.4863, 0.9607)
Te (0.6637, 0.3363, 0.6814)
Te (0.6966, 0.3034, 0.0663)
Te (0.7030, 0.2970, 0.3435)
Te (0.9339, 0.0661, 0.7141)

***

First-principles (GGA-PBE) data for crystalline TmSn2Ru at its relaxed geometry, as listed in the Alexandria database.

Output
- electronic total energy (eV per formula unit) = -23.6
- ρ (Mg/m³) = 9.7

Unit cell a=16.1956 b=7.4668 c=5.7316 alpha=90.00 beta=90.00 gamma=90.00
Fractional positions:
Tm (0.1061, 0.2500, 0.2430)
Tm (0.1438, 0.7500, 0.4683)
Tm (0.3562, 0.2500, 0.9683)
Tm (0.3939, 0.7500, 0.7430)
Tm (0.6061, 0.2500, 0.2570)
Tm (0.6438, 0.7500, 0.0317)
Tm (0.8562, 0.2500, 0.5317)
Tm (0.8939, 0.7500, 0.7570)
Sn (0.0344, 0.0443, 0.7407)
Sn (0.0344, 0.4557, 0.7407)
Sn (0.2132, 0.5458, 0.9835)
Sn (0.2132, 0.9542, 0.9835)
Sn (0.2868, 0.0458, 0.4835)
Sn (0.2868, 0.4542, 0.4835)
Sn (0.4656, 0.5443, 0.2407)
Sn (0.4656, 0.9557, 0.2407)
Sn (0.5344, 0.0443, 0.7593)
Sn (0.5344, 0.4557, 0.7593)
Sn (0.7132, 0.5458, 0.5165)
Sn (0.7132, 0.9542, 0.5165)
Sn (0.7868, 0.0458, 0.0165)
Sn (0.7868, 0.4542, 0.0165)
Sn (0.9656, 0.5443, 0.2593)
Sn (0.9656, 0.9557, 0.2593)
Ru (0.0728, 0.7500, 0.9989)
Ru (0.1746, 0.2500, 0.7279)
Ru (0.3254, 0.7500, 0.2279)
Ru (0.4272, 0.2500, 0.4989)
Ru (0.5728, 0.7500, 0.5011)
Ru (0.6746, 0.2500, 0.7721)
Ru (0.8254, 0.7500, 0.2721)
Ru (0.9272, 0.2500, 0.0011)

***

First-principles (GGA-PBE) data for crystalline CsYSnO3 at its relaxed geometry, as listed in the Alexandria database.

Output
- electronic total energy (eV per formula unit) = -39.6
- ρ (Mg/m³) = 5.0
- E_form (uncorrected) (eV/atom) = -2.23

Unit cell a=7.8597 b=3.5497 c=9.4204 alpha=90.00 beta=97.54 gamma=90.00
Fractional positions:
Cs (0.0833, 0.2500, 0.2912)
Cs (0.9167, 0.7500, 0.7088)
Y (0.4261, 0.7500, 0.6353)
Y (0.5739, 0.2500, 0.3647)
Sn (0.3090, 0.2500, 0.9257)
Sn (0.6910, 0.7500, 0.0743)
O (0.2533, 0.2500, 0.6884)
O (0.3908, 0.7500, 0.3956)
O (0.4603, 0.7500, 0.8893)
O (0.5397, 0.2500, 0.1107)
O (0.6092, 0.2500, 0.6044)
O (0.7467, 0.7500, 0.3116)